# Mo3PdSe PBE optimized geometry
# - density (Mg/m³) = 8.2
# - N(E_F) (states/eV/atom) = 1.92
# - crystal system = cubic
# - distance to the lowest polymorph of the same formula (eV/f.u.) = 0.00
# - E_tot (eV/atom) = -7.042
# - uncorrected formation energy (meV/atom) = 1192
data_Mo3PdSe
_cell_length_a 4.577
_cell_length_b 4.577
_cell_length_c 4.577
_cell_angle_alpha 90.00
_cell_angle_beta 90.00
_cell_angle_gamma 90.00
_space_group_name_H-M_alt 'P m -3 m'
_space_group_IT_number 221
_space_group_name_Hall '-P 4 2 3'
loop_
_atom_site_label
_atom_site_fract_x
_atom_site_fract_y
_atom_site_fract_z
Mo1 0.000 0.000 0.500
Pd1 0.500 0.500 0.500
Se1 0.000 0.000 0.000